No. 1
Tb4Er3Tm3: relaxed, PBE-GGA.

Lattice parameters (Å, degrees): 3.702 9.157 9.157 90.02 90.00 90.00
Sites, in units of the cell vectors:
Tb: 0.000 0.629 0.371
Tb: 0.000 0.371 0.629
Tb: 0.000 0.871 0.871
Tb: 0.000 0.129 0.129
Er: 0.500 0.830 0.170
Er: 0.500 0.330 0.331
Er: 0.500 0.669 0.670
Tm: 0.000 0.499 0.000
Tm: 0.000 0.000 0.501
Tm: 0.500 0.170 0.830

Output
* crystal system: orthorhombic
* density of states at the Fermi level: 6.91 states/eV per cell
* calculated total energy: -4.465 eV/atom
* formation enthalpy at 0 K: 0.097 eV/atom

***

No. 2
Tb4ErTm3: relaxed, PBE-GGA.

Lattice parameters (Å, degrees): 5.556 3.551 13.174 90.00 102.17 90.00
Sites, in units of the cell vectors:
Tm: 0.000 0.500 0.000
Tm: 0.846 0.000 0.692
Tm: 0.154 0.000 0.308
Tb: 0.603 0.500 0.206
Tb: 0.397 0.500 0.794
Tb: 0.277 0.499 0.554
Tb: 0.723 0.501 0.446
Er: 0.500 0.000 0.000

Output
* crystal system: orthorhombic
* energy above the most stable polymorph in this dataset: 154.4 kJ/mol of formula units
* density of states at the Fermi level: 11.23 states/eV per cell
* calculated total energy: -4.357 eV/atom
* formation enthalpy at 0 K: 0.205 eV/atom

***

No. 3
TbEr3Tm6: relaxed, PBE-GGA.

Lattice parameters (Å, degrees): 6.089 10.790 10.790 119.72 90.00 90.00
Sites, in units of the cell vectors:
Tb: 0.158 0.209 0.791
Tb: 0.658 0.791 0.209
Er: 0.456 0.936 0.720
Er: 0.956 0.720 0.936
Er: 0.072 0.391 0.609
Er: 0.572 0.609 0.391
Er: 0.956 0.064 0.280
Er: 0.456 0.280 0.064
Tm: 0.029 0.712 0.617
Tm: 0.529 0.617 0.712
Tm: 0.362 0.542 0.963
Tm: 0.862 0.963 0.542
Tm: 0.420 0.951 0.049
Tm: 0.642 0.286 0.714
Tm: 0.142 0.714 0.286
Tm: 0.920 0.049 0.951
Tm: 0.362 0.037 0.458
Tm: 0.862 0.458 0.037
Tm: 0.029 0.383 0.288
Tm: 0.529 0.288 0.383

Output
* crystal system: orthorhombic
* energy above the most stable polymorph in this dataset: 22.8 kJ/mol of formula units
* density of states at the Fermi level: 28.04 states/eV per cell
* calculated total energy: -4.366 eV/atom
* formation enthalpy at 0 K: 0.149 eV/atom

***

No. 4
TbEr7Tm2: relaxed, PBE-GGA.

Lattice parameters (Å, degrees): 5.293 9.321 9.321 124.70 90.00 90.00
Sites, in units of the cell vectors:
Tb: 0.000 0.000 0.000
Er: 0.000 0.798 0.202
Er: 0.000 0.202 0.798
Er: 0.500 0.066 0.290
Er: 0.500 0.934 0.710
Er: 0.500 0.290 0.066
Er: 0.500 0.710 0.934
Er: 0.500 0.500 0.500
Tm: 0.500 0.702 0.298
Tm: 0.500 0.298 0.702

Output
* crystal system: orthorhombic
* energy above the most stable polymorph in this dataset: 637.5 kJ/mol of formula units
* density of states at the Fermi level: 14.19 states/eV per cell
* calculated total energy: -3.839 eV/atom
* formation enthalpy at 0 K: 0.712 eV/atom

***

No. 5
Tb6Er3Tm2: relaxed, PBE-GGA.

Lattice parameters (Å, degrees): 3.527 3.527 31.624 86.80 86.80 60.00
Sites, in units of the cell vectors:
Tb: 0.909 0.909 0.273
Tb: 0.091 0.091 0.727
Tb: 0.818 0.818 0.546
Tb: 0.182 0.182 0.454
Tb: 0.636 0.636 0.091
Tb: 0.364 0.364 0.909
Er: 0.000 0.000 0.000
Er: 0.727 0.727 0.818
Er: 0.273 0.273 0.182
Tm: 0.546 0.546 0.363
Tm: 0.454 0.454 0.637

Output
* crystal system: trigonal
* energy above the most stable polymorph in this dataset: 0.0 kJ/mol of formula units
* density of states at the Fermi level: 14.62 states/eV per cell
* calculated total energy: -4.563 eV/atom
* formation enthalpy at 0 K: 0.020 eV/atom

***

No. 6
Tb5ErTm6: relaxed, PBE-GGA.

Lattice parameters (Å, degrees): 9.979 9.979 5.701 106.59 106.59 124.19
Sites, in units of the cell vectors:
Tm: 0.430 0.070 0.250
Tm: 0.930 0.570 0.750
Tm: 0.251 0.251 0.751
Tm: 0.749 0.749 0.249
Tm: 0.070 0.430 0.250
Tm: 0.570 0.930 0.750
Tb: 0.848 0.152 0.500
Tb: 0.653 0.347 0.000
Tb: 0.500 0.500 0.500
Tb: 0.347 0.653 0.000
Tb: 0.152 0.848 0.500
Er: 0.000 0.000 0.000

Output
* crystal system: orthorhombic
* energy above the most stable polymorph in this dataset: 109.9 kJ/mol of formula units
* density of states at the Fermi level: 20.23 states/eV per cell
* calculated total energy: -4.429 eV/atom
* formation enthalpy at 0 K: 0.116 eV/atom

***

No. 7
Tb2ErTm4: relaxed, PBE-GGA.

Lattice parameters (Å, degrees): 3.559 3.559 19.682 95.17 90.00 120.00
Sites, in units of the cell vectors:
Tb: 0.620 0.239 0.094
Tb: 0.715 0.430 0.382
Er: 0.809 0.619 0.668
Tm: 0.904 0.809 0.950
Tm: 0.429 0.858 0.526
Tm: 0.001 0.002 0.238
Tm: 0.524 0.047 0.810

Output
* crystal system: monoclinic
* energy above the most stable polymorph in this dataset: 0.0 kJ/mol of formula units
* density of states at the Fermi level: 11.39 states/eV per cell
* calculated total energy: -4.529 eV/atom
* formation enthalpy at 0 K: 0.001 eV/atom

***

No. 8
Tb5Er2Tm12: relaxed, PBE-GGA.

Lattice parameters (Å, degrees): 9.160 8.917 8.472 91.84 90.00 120.91
Sites, in units of the cell vectors:
Tb: 0.231 0.462 0.572
Tb: 0.293 0.587 0.981
Tb: 0.000 0.000 0.500
Tb: 0.707 0.413 0.019
Tb: 0.769 0.538 0.428
Er: 0.673 0.000 0.000
Er: 0.327 0.000 0.000
Tm: 0.926 0.852 0.127
Tm: 0.031 0.703 0.760
Tm: 0.672 0.703 0.760
Tm: 0.179 0.740 0.332
Tm: 0.561 0.740 0.332
Tm: 0.444 0.887 0.666
Tm: 0.556 0.113 0.334
Tm: 0.821 0.260 0.668
Tm: 0.439 0.260 0.668
Tm: 0.969 0.297 0.240
Tm: 0.328 0.297 0.240
Tm: 0.074 0.148 0.873

Output
* crystal system: monoclinic
* density of states at the Fermi level: 25.41 states/eV per cell
* calculated total energy: -4.398 eV/atom
* formation enthalpy at 0 K: 0.125 eV/atom

***

Question: Look up the density of states at the Fermi level of the second one.
Answer: 11.23 states/eV per cell

***

Question: Among the records above, which one has the lowest calculated total energy?
Answer: Tb6Er3Tm2

***

Question: Which value of formation enthalpy at 0 K does entry 1 give?
Answer: 0.097 eV/atom